A plane-wave DFT calculation with PBE was carried out for an optimized crystal structure of Cd2AgSb.

V: 91.19 Å³ per cell
ρ: 8.28 g/cm3
raw formation energy: 0.073 eV/atom

a b c (Å): 5.495 5.495 5.495
angles (deg): 131.47 131.47 71.07
Fractional coordinates of all 4 atoms:
Sb: 0.500 0.500 0.000
Ag: 0.750 0.250 0.500
Cd: 0.000 0.000 0.000
Cd: 0.250 0.750 0.500

A plane-wave DFT calculation with PBE was carried out for an optimized crystal structure of CdAg2SbSe4.

V: 236.54 Å³ per cell
ρ: 5.38 g/cm3
raw formation energy: -0.216 eV/atom

a b c (Å): 6.177 6.177 7.583
angles (deg): 114.02 114.02 90.03
Fractional coordinates of all 8 atoms:
Cd: 0.500 0.500 0.000
Ag: 0.750 0.250 0.500
Ag: 0.250 0.750 0.500
Sb: 0.000 0.000 0.000
Se: 0.624 0.624 0.744
Se: 0.376 0.879 0.256
Se: 0.879 0.376 0.256
Se: 0.121 0.121 0.744

A plane-wave DFT calculation with PBE was carried out for an optimized crystal structure of Cd2AgSbSe4.

V: 246.83 Å³ per cell
ρ: 5.18 g/cm3
raw formation energy: -0.335 eV/atom

a b c (Å): 6.267 6.267 7.690
angles (deg): 114.04 114.04 90.01
Fractional coordinates of all 8 atoms:
Cd: 0.750 0.250 0.500
Cd: 0.250 0.750 0.500
Ag: 0.500 0.500 0.000
Sb: 0.000 0.000 0.000
Se: 0.614 0.614 0.745
Se: 0.385 0.869 0.255
Se: 0.869 0.385 0.255
Se: 0.131 0.131 0.745

Which value of ρ does entry 2 give?
5.38 g/cm3